# PrPtF7, relaxed, DFT GGA-PBE
# * total DFT energy (no corrections): -5.18 eV per atom
# * density: 6.3 g cm⁻³
data_PrPtF7
_cell_length_a 8.833
_cell_length_b 5.290
_cell_length_c 11.977
_cell_angle_alpha 90.00
_cell_angle_beta 118.16
_cell_angle_gamma 90.00
_space_group_name_H-M_alt 'P 1 21/c 1'
_space_group_IT_number 14
_space_group_name_Hall '-P 2ybc'
loop_
_atom_site_label
_atom_site_fract_x
_atom_site_fract_y
_atom_site_fract_z
_atom_site_occupancy
Pr1 0.185 0.230 0.254 1
Pt1 0.278 0.742 0.041 1
F1 0.028 0.729 0.467 1
F2 0.043 0.645 0.720 1
F3 0.236 0.085 0.456 1
F4 0.285 0.579 0.189 1
F5 0.291 0.587 0.402 1
F6 0.322 0.060 0.135 1
F7 0.477 0.176 0.388 1

# ScIn2Hg, relaxed, DFT GGA-PBE
# * total DFT energy (no corrections): -3.27 eV per atom
# * density: 8.7 g cm⁻³
data_ScIn2Hg
_cell_length_a 6.429
_cell_length_b 10.901
_cell_length_c 5.178
_cell_angle_alpha 90.00
_cell_angle_beta 90.00
_cell_angle_gamma 90.00
_space_group_name_H-M_alt 'C m c m'
_space_group_IT_number 63
_space_group_name_Hall '-C 2c 2'
loop_
_atom_site_label
_atom_site_fract_x
_atom_site_fract_y
_atom_site_fract_z
_atom_site_occupancy
Sc1 0.000 0.166 0.250 1
In1 0.243 0.419 0.250 1
Hg1 0.000 0.323 0.750 1

# Cu4Ag, relaxed, DFT GGA-PBE
# * total DFT energy (no corrections): -3.46 eV per atom
# * E above lowest polymorph: 0.030 eV per atom
# * density: 9.2 g cm⁻³
data_Cu4Ag
_cell_length_a 8.703
_cell_length_b 2.690
_cell_length_c 11.359
_cell_angle_alpha 90.00
_cell_angle_beta 100.71
_cell_angle_gamma 90.00
_space_group_name_H-M_alt 'C 1 2/m 1'
_space_group_IT_number 12
_space_group_name_Hall '-C 2y'
loop_
_atom_site_label
_atom_site_fract_x
_atom_site_fract_y
_atom_site_fract_z
_atom_site_occupancy
Cu1 0.000 0.000 0.000 1
Cu2 0.000 0.500 0.500 1
Cu3 0.102 0.000 0.689 1
Cu4 0.197 0.500 0.906 1
Cu5 0.201 0.000 0.409 1
Ag1 0.101 0.500 0.204 1